Density functional theory data (GGA+U) for crystalline CaHoMo2O6 at its relaxed geometry.

abc: 5.770 5.484 9.708
angles: 56.01 90.00 90.00
Fractional positions:
O1 0.443 0.386 0.438
Ho1 0.187 0.725 0.251
O2 0.038 0.629 0.566
O3 0.953 0.278 0.433
O4 0.557 0.386 0.938
O5 0.962 0.629 0.066
O6 0.437 0.738 0.068
O7 0.303 0.117 0.247
Ho2 0.813 0.725 0.751
Mo1 0.748 0.999 0.000
Mo2 0.252 0.999 0.500
O8 0.563 0.738 0.568
O9 0.047 0.278 0.933
O10 0.186 0.861 0.754
Ca1 0.304 0.264 0.748
Mo3 0.253 0.499 0.000
O11 0.697 0.117 0.747
O12 0.814 0.861 0.254
Mo4 0.747 0.499 0.500
Ca2 0.696 0.264 0.248

Values from the calculation:
* space-group type: Pc, No. 7
* raw total energy: -7.517 eV per atom
* total magnetic moment: 10.00 Bohr magnetons per cell